No. 1
First-principles (PBE) data for a geometry-optimized Dy3BeSi2 structure, as listed in Alexandria via LeMat-Bulk.

```
24
Lattice="-3.7220 -1.5261 -0.0995 4.3410 -10.4927 -1.4498 0.2847 -1.4191 11.1226" Properties=species:S:1:pos:R:3 pbc="T T T"
Dy 0.7335 -4.4502 0.1357
Dy 0.1702 -8.9877 9.4377
Dy 1.1489 -10.9879 3.5020
Dy -0.2453 -2.4500 6.0714
Dy 2.1767 -8.0404 1.2151
Dy -1.2730 -5.3975 8.3583
Dy -1.8281 -3.6904 2.9349
Dy 2.7317 -9.7475 6.6385
Dy 1.0891 -5.5398 3.5472
Dy -0.1854 -7.8980 6.0262
Dy 1.3254 -11.1844 -0.0872
Dy -0.4217 -2.2535 9.6606
Be -0.3002 -2.0038 1.2790
Be 1.2038 -11.4340 8.2944
Be 0.0748 -8.3396 3.0626
Be 0.8288 -5.0983 6.5108
Si 2.1592 -8.1901 4.1666
Si -1.2556 -5.2478 5.4068
Si -1.9951 -3.0948 0.0450
Si 2.8987 -10.3430 9.5284
Si -0.7792 -0.9702 3.3469
Si 1.6829 -12.4677 6.2265
Si -0.5011 -6.8232 1.3471
Si 1.4047 -6.6146 8.2263
```

Its crystal system is orthorhombic. As for the magnetization: 0.00 μB per atom. The calculation puts the total energy at -5.3447 eV/atom.

***

No. 2
First-principles (PBE) data for a geometry-optimized BaTi2SiAg structure, as listed in Alexandria via LeMat-Bulk.

```
5
Lattice="-2.6040 -3.7317 -2.1627 -1.1843 -1.9931 4.8649 -4.1686 2.8260 0.1429" Properties=species:S:1:pos:R:3 pbc="T T T"
Si -0.5922 -0.9965 2.4324
Ba 0.0000 0.0000 0.0000
Ag -3.9784 -1.4494 1.4225
Ti -2.0843 1.4130 0.0715
Ti -1.3020 -1.8659 -1.0814
```

Its crystal system is tetragonal. As for the magnetization: 0.00 μB per atom. The calculation puts the total energy at -3.2325 eV/atom.

***

No. 3
First-principles (PBE) data for a geometry-optimized InTcBr2 structure, as listed in Alexandria via LeMat-Bulk.

```
4
Lattice="2.0745 0.0000 9.8523 -1.0373 1.7966 9.8523 -1.0373 -1.7966 9.8523" Properties=species:S:1:pos:R:3 pbc="T T T"
Tc 0.0000 0.0000 14.7784
Br 0.0000 0.0000 26.1643
Br 0.0000 0.0000 3.3925
In 0.0000 0.0000 0.0000
```

Its crystal system is trigonal. As for the magnetization: 0.20 μB per atom. The calculation puts the total energy at -3.9261 eV/atom.

***

No. 4
First-principles (PBE) data for a geometry-optimized Ta3Os5 structure, as listed in Alexandria via LeMat-Bulk.

```
16
Lattice="6.5159 -0.0020 0.0000 3.2606 8.2903 0.0000 0.0000 0.0000 4.8687" Properties=species:S:1:pos:R:3 pbc="T T T"
Os 6.5170 5.8796 0.0006
Os 3.2596 2.4086 2.4350
Os 3.2596 2.4086 4.8681
Os 6.5170 5.8796 2.4337
Os 1.0619 0.0015 1.2172
Os 8.7148 8.2869 3.6516
Os 5.7427 1.8943 1.2172
Os 9.0022 6.3955 1.2172
Os 0.7744 1.8930 3.6516
Os 4.0340 6.3939 3.6516
Ta 3.9883 -0.0007 1.2172
Ta 5.7882 8.2889 3.6516
Ta 4.3699 4.7251 1.2172
Ta 7.6296 3.5613 1.2172
Ta 2.1468 4.7268 3.6516
Ta 5.4066 3.5631 3.6516
```

The value obtained for the energy of formation from the pure elements is 0.0841 eV/atom. Its crystal system is orthorhombic. As for the magnetization: 0.00 μB per atom.

***

No. 5
First-principles (PBE) data for a geometry-optimized BaCa2Zr structure, as listed in Alexandria via LeMat-Bulk.

```
4
Lattice="-4.3051 -3.6952 1.8798 1.3219 -5.6551 1.4125 -0.1409 -1.7655 5.7084" Properties=species:S:1:pos:R:3 pbc="T T T"
Ca 0.0000 0.0000 0.0000
Ca -0.7810 -2.7790 2.2502
Ba -1.5620 -5.5579 4.5004
Zr -2.3431 -8.3369 6.7505
```

The value obtained for the energy of formation from the pure elements is 0.4989 eV/atom. Its crystal system is cubic. As for the magnetization: 0.19 μB per atom.

***

No. 6
First-principles (PBE) data for a geometry-optimized CrReTe structure, as listed in Alexandria via LeMat-Bulk.

```
6
Lattice="-1.9998 -1.4481 -1.9838 -0.6697 0.1528 3.0920 -5.6791 10.2196 -1.7352" Properties=species:S:1:pos:R:3 pbc="T T T"
Cr -1.4852 -0.5081 1.8681
Cr -4.3226 4.6024 0.9978
Re -3.9803 2.6554 -0.4545
Re -5.5512 5.4823 -0.9344
Te -5.1436 8.4590 -0.9898
Te -1.2798 1.5060 0.1908
```

Its crystal system is hexagonal. As for the magnetization: 0.00 μB per atom. The calculation puts the total energy at -7.7446 eV/atom.

***

No. 7
First-principles (PBE) data for a geometry-optimized Mg4InHg2 structure, as listed in Alexandria via LeMat-Bulk.

```
7
Lattice="1.1555 -0.0144 4.7279 0.9139 -4.2077 2.2690 8.4058 -0.7474 0.4486" Properties=species:S:1:pos:R:3 pbc="T T T"
Mg 5.0505 -3.9671 6.2692
Mg 5.4246 -1.0024 1.1764
Mg 2.5385 -2.7156 4.3817
Mg 7.9366 -2.2539 3.0638
In 0.0000 0.0000 0.0000
Hg 7.7941 -3.7325 5.5993
Hg 2.6810 -1.2371 1.8462
```

The value obtained for the energy of formation from the pure elements is -0.1380 eV/atom. Its crystal system is trigonal. As for the magnetization: 0.00 μB per atom.

***

No. 8
First-principles (PBE) data for a geometry-optimized PaMoP2Ru2 structure, as listed in Alexandria via LeMat-Bulk.

```
6
Lattice="-0.3261 3.7713 1.7522 -2.5067 -3.0971 1.2344 4.2639 -1.6874 4.4252" Properties=species:S:1:pos:R:3 pbc="T T T"
Pa 0.0000 0.0000 0.0000
Mo 2.1319 -0.8437 2.2126
P 1.9183 0.3060 4.6633
P -0.4873 -1.3191 2.7485
Ru 0.1861 0.9915 2.8655
Ru 1.2450 -2.0047 4.5463
```

The value obtained for the energy of formation from the pure elements is -0.5697 eV/atom. Its crystal system is trigonal. As for the magnetization: 0.00 μB per atom.

***

No. 9
First-principles (PBE) data for a geometry-optimized LuVSi2 structure, as listed in Alexandria via LeMat-Bulk.

```
4
Lattice="4.0857 0.0000 0.0000 2.0429 3.5383 0.0000 2.0429 1.1794 4.8378" Properties=species:S:1:pos:R:3 pbc="T T T"
Si 6.1286 3.5383 4.0364
Si 2.0429 1.1794 0.8014
Lu 4.0857 2.3589 2.4189
V 0.0000 0.0000 0.0000
```

Its crystal system is trigonal. As for the magnetization: 0.30 μB per atom. The calculation puts the total energy at -6.4932 eV/atom.

***

No. 10
First-principles (PBE) data for a geometry-optimized CaSc2Pb structure, as listed in Alexandria via LeMat-Bulk.

```
4
Lattice="-1.6463 -4.1673 1.4915 2.3197 0.5426 4.0765 -3.7570 2.1471 1.8522" Properties=species:S:1:pos:R:3 pbc="T T T"
Pb -0.7186 1.3448 2.9643
Sc 0.0000 0.0000 0.0000
Sc 0.3367 -1.8124 2.7840
Ca -2.7016 -1.0101 1.6718
```

The value obtained for the energy of formation from the pure elements is -0.1872 eV/atom. Its crystal system is tetragonal. As for the magnetization: 0.34 μB per atom.

***

No. 11
First-principles (PBE) data for a geometry-optimized MnCd2Tc structure, as listed in Alexandria via LeMat-Bulk.

```
4
Lattice="-1.8711 1.6631 1.5151 0.4460 -1.6572 2.3700 6.3714 3.0501 4.5207" Properties=species:S:1:pos:R:3 pbc="T T T"
Cd 6.2235 2.9289 4.4711
Cd 0.9792 1.3502 2.5529
Mn 3.6342 0.8772 3.5254
Tc 3.8897 1.6463 5.8224
```

The value obtained for the energy of formation from the pure elements is 0.1819 eV/atom. Its crystal system is monoclinic. As for the magnetization: 0.10 μB per atom.

***

No. 12
First-principles (PBE) data for a geometry-optimized AsWBr2 structure, as listed in Alexandria via LeMat-Bulk.

```
4
Lattice="3.0631 0.0000 0.0000 0.0000 3.0631 0.0000 0.0000 0.0000 9.4017" Properties=species:S:1:pos:R:3 pbc="T T T"
As 1.5316 1.5316 7.0513
Br 0.0000 0.0000 0.7062
Br 0.0000 0.0000 3.9947
W 1.5316 1.5316 2.3504
```

Its crystal system is tetragonal. As for the magnetization: 0.00 μB per atom. The calculation puts the total energy at -4.4561 eV/atom.